No. 1
K2CrP: optimized geometry, GGA-PBE.

Computed properties:
For the total DFT energy (no corrections), the calculation gives -3.480 eV per atom. The value obtained for the formation energy is 0.827 eV/atom.

abc: 11.4270 11.4270 11.4270
angles: 17.44 17.44 17.44
Fractional coordinates of all 4 atoms:
1 K 0.2390 0.2390 0.2390
2 K 0.7610 0.7610 0.7610
3 Cr 0.0000 0.0000 0.0000
4 P 0.5000 0.5000 0.5000


No. 2
Tl2SbBr: optimized geometry, GGA-PBE.

Computed properties:
For the total DFT energy (no corrections), the calculation gives -2.742 eV per atom. Its polymorph energy (0 for the lowest one) is 0.160 eV per atom.

abc: 7.2562 7.2562 7.2562
angles: 143.66 143.66 52.33
Fractional coordinates of all 4 atoms:
1 Tl 0.0000 0.0000 0.0000
2 Tl 0.7500 0.2500 0.5000
3 Sb 0.5000 0.5000 0.0000
4 Br 0.2500 0.7500 0.5000


No. 3
CrFe2Mo: optimized geometry, GGA-PBE.

Computed properties:
For the total DFT energy (no corrections), the calculation gives -9.136 eV per atom. The value obtained for the formation energy is 0.209 eV/atom. Its polymorph energy (0 for the lowest one) is 0.113 eV per atom.

abc: 4.4689 4.4689 4.4600
angles: 99.68 99.68 33.89
Fractional coordinates of all 4 atoms:
1 Cr 0.0000 0.0000 0.0000
2 Fe 0.4754 0.4754 0.4555
3 Fe 0.7409 0.7409 0.1953
4 Mo 0.2326 0.2326 0.6923